DFT (PBE-GGA) results for a relaxed PrErIr2 crystal.

DFT formation energy: -0.66 eV/atom

Cell: 3.397 3.397 7.316 Å, 90.00 90.00 90.00°
Space group P4/mmm (No. 123)
Unique sites:
1 Pr 0.000 0.000 0.000 [1 per cell]
2 Er 0.000 0.000 0.500 [1 per cell]
3 Ir 0.500 0.500 0.268 [2 per cell]

=====

DFT (PBE-GGA) results for a relaxed Sr2InCu12Ni3 crystal.

DFT formation energy: 0.44 eV/atom

Cell: 8.3512 8.3512 17.5884 Å, 90.00 90.00 120.00°
Space group R-3m (No. 166, hexagonal axes)
Unique sites:
1 Sr 0.0000 0.0000 0.1032 [6 per cell]
2 In 0.0000 0.0000 0.5000 [3 per cell]
3 Cu 0.0016 0.5008 0.1338 [18 per cell]
4 Cu 0.1022 0.2044 0.7301 [18 per cell]
5 Ni 0.0000 0.5000 0.0000 [9 per cell]

=====

DFT (PBE-GGA) results for a relaxed ThCd2Pt9 crystal.

DFT formation energy: -0.51 eV/atom

Cell: 5.3948 5.3948 26.2733 Å, 90.00 90.00 120.00°
Space group R-3m (No. 166, hexagonal axes)
Unique sites:
1 Th 0.0000 0.0000 0.0000 [3 per cell]
2 Cd 0.0000 0.0000 0.1453 [6 per cell]
3 Pt 0.0000 0.0000 0.3338 [6 per cell]
4 Pt 0.0000 0.0000 0.5000 [3 per cell]
5 Pt 0.0043 0.5021 0.9148 [18 per cell]

=====

DFT (PBE-GGA) results for a relaxed CrFeSe2 crystal.

uncorrected formation energy: -0.193 eV per atom

Cell: 3.300 3.300 6.738 Å, 90.00 90.00 90.00°
Space group P4mm (No. 99)
Unique sites:
1 Cr 0.000 0.000 0.000 [1 per cell]
2 Fe 0.500 0.500 0.230 [1 per cell]
3 Se 0.000 0.000 0.370 [1 per cell]
4 Se 0.500 0.500 0.856 [1 per cell]

=====

DFT (PBE-GGA) results for a relaxed CeNpPtRh crystal.

DFT formation energy: -0.59 eV/atom

Cell: 6.688 6.688 6.688 Å, 90.00 90.00 90.00°
Space group F-43m (No. 216)
Unique sites:
1 Ce 0.000 0.000 0.000 [4 per cell]
2 Np 0.250 0.250 0.750 [4 per cell]
3 Pt 0.250 0.250 0.250 [4 per cell]
4 Rh 0.000 0.000 0.500 [4 per cell]

=====

DFT (PBE-GGA) results for a relaxed K2RbAgF crystal.

uncorrected formation energy: -1.011 eV per atom

Cell: 5.440 5.440 5.770 Å, 90.00 90.00 90.00°
Space group P4/mmm (No. 123)
Unique sites:
1 K 0.000 0.500 0.000 [2 per cell]
2 Rb 0.000 0.000 0.500 [1 per cell]
3 Ag 0.500 0.500 0.500 [1 per cell]
4 F 0.000 0.000 0.000 [1 per cell]

=====

Q: Which formula does entry 1 have?
A: PrErIr2